# Ti2TlAu

Crystalline Ti2TlAu at its relaxed geometry (GGA-PBE, the Alexandria database).

It has space group I-42d (No. 122), with a = 7.436 Å, b = 7.436 Å, c = 5.935 Å, α = 90.00°, β = 90.00° and γ = 90.00°. The asymmetric unit holds Ti at (0.225, 0.250, 0.125), Tl at (0.000, 0.000, 0.500) and Au at (0.000, 0.000, 0.000).

The value obtained for the magnetization is 0.0 μB per cell. As for the density of states at the Fermi level: 23.04 states/eV/cell. The value obtained for the energy of formation is 0.2110 eV/atom.

# SbPbCl2

Crystalline SbPbCl2 at its relaxed geometry (GGA-PBE, the Alexandria database).

It has space group P4/mmm (No. 123), with a = 4.730 Å, b = 4.730 Å, c = 4.593 Å, α = 90.00°, β = 90.00° and γ = 90.00°. The asymmetric unit holds Sb at (0.000, 0.000, 0.000), Pb at (0.500, 0.500, 0.000) and Cl at (0.000, 0.500, 0.500).

The value obtained for the magnetization is 0.0 μB per cell. As for the density of states at the Fermi level: 2.40 states/eV/cell. The calculation puts the raw formation energy at -246 meV/atom. For the energy relative to the lowest polymorph listed for this composition, the calculation gives 0.290 eV/atom.

# Ag2OsRh

Crystalline Ag2OsRh at its relaxed geometry (GGA-PBE, the Alexandria database).

It has space group F-43m (No. 216), with a = 6.348 Å, b = 6.348 Å, c = 6.348 Å, α = 90.00°, β = 90.00° and γ = 90.00°. The asymmetric unit holds Ag at (0.000, 0.000, 0.000), Ag at (0.250, 0.250, 0.250), Os at (0.250, 0.250, 0.750) and Rh at (0.000, 0.000, 0.500).

The value obtained for the magnetization is 4.5 μB per cell. As for the density of states at the Fermi level: 15.15 states/eV/cell. The value obtained for the energy of formation is 0.7120 eV/atom. For the energy relative to the lowest polymorph listed for this composition, the calculation gives 0.448 eV/atom.

# La2Al4Zn3Hg

Crystalline La2Al4Zn3Hg at its relaxed geometry (GGA-PBE, the Alexandria database).

It has space group P-4m2 (No. 115), with a = 4.372 Å, b = 4.372 Å, c = 10.898 Å, α = 90.00°, β = 90.00° and γ = 90.00°. The asymmetric unit holds La at (0.000, 0.500, 0.244), Al at (0.000, 0.000, 0.000), Al at (0.000, 0.500, 0.640), Al at (0.500, 0.500, 0.000), Zn at (0.000, 0.500, 0.868), Zn at (0.500, 0.500, 0.500) and Hg at (0.000, 0.000, 0.500).

The value obtained for the magnetization is 0.0 μB per cell. As for the density of states at the Fermi level: 2.17 states/eV/cell. The value obtained for the energy of formation is -0.4216 eV/atom.

# La2YN2Cl2

Crystalline La2YN2Cl2 at its relaxed geometry (GGA-PBE, the Alexandria database).

It has space group I4/mmm (No. 139), with a = 4.522 Å, b = 4.522 Å, c = 15.337 Å, α = 90.00°, β = 90.00° and γ = 90.00°. The asymmetric unit holds La at (0.000, 0.000, 0.099), Y at (0.000, 0.000, 0.500), N at (0.000, 0.500, 0.000) and Cl at (0.000, 0.000, 0.316).

The value obtained for the magnetization is 1.9 μB per cell. As for the density of states at the Fermi level: 4.23 states/eV/cell. The calculation puts the raw formation energy at -1600 meV/atom.

# PuHfS2O

Crystalline PuHfS2O at its relaxed geometry (GGA-PBE, the Alexandria database).

It has space group P4/nmm (No. 129, origin choice 2), with a = 3.692 Å, b = 3.692 Å, c = 12.944 Å, α = 90.00°, β = 90.00° and γ = 90.00°. The asymmetric unit holds Pu at (0.250, 0.250, 0.103), Hf at (0.250, 0.250, 0.592), S at (0.250, 0.250, 0.389), S at (0.250, 0.250, 0.790) and O at (0.250, 0.750, 0.000).

The value obtained for the magnetization is 9.3 μB per cell. As for the density of states at the Fermi level: 12.96 states/eV/cell. The calculation puts the raw formation energy at -2014 meV/atom.

# EuAg4Bi

Crystalline EuAg4Bi at its relaxed geometry (GGA-PBE, the Alexandria database).

It has space group F-43m (No. 216), with a = 8.161 Å, b = 8.161 Å, c = 8.161 Å, α = 90.00°, β = 90.00° and γ = 90.00°. The asymmetric unit holds Eu at (0.000, 0.000, 0.000), Ag at (0.125, 0.125, 0.375) and Bi at (0.250, 0.250, 0.750).

The value obtained for the magnetization is 27.6 μB per cell. As for the density of states at the Fermi level: 42.52 states/eV/cell. The value obtained for the energy of formation is -0.2418 eV/atom.

# SmTmSiPd

Crystalline SmTmSiPd at its relaxed geometry (GGA-PBE, the Alexandria database).

It has space group F-43m (No. 216), with a = 7.074 Å, b = 7.074 Å, c = 7.074 Å, α = 90.00°, β = 90.00° and γ = 90.00°. The asymmetric unit holds Sm at (0.000, 0.000, 0.000), Tm at (0.000, 0.000, 0.500), Si at (0.250, 0.250, 0.750) and Pd at (0.250, 0.250, 0.250).

The value obtained for the magnetization is 0.0 μB per cell. As for the density of states at the Fermi level: 8.13 states/eV/cell. The calculation puts the raw formation energy at -697 meV/atom.

# LiCa2TcO6

Crystalline LiCa2TcO6 at its relaxed geometry (GGA-PBE, the Alexandria database).

It has space group P2_1/c (No. 14), with a = 5.410 Å, b = 5.697 Å, c = 9.333 Å, α = 90.00°, β = 124.85° and γ = 90.00°. The asymmetric unit holds Li at (0.000, 0.000, 0.000), Ca at (0.230, 0.067, 0.746), Tc at (0.500, 0.000, 0.500), O at (0.167, 0.182, 0.454), O at (0.268, 0.720, 0.445) and O at (0.360, 0.033, 0.262).

The value obtained for the magnetization is 0.0 μB per cell. The calculation puts the raw formation energy at -2159 meV/atom.

# InReTe2S

Crystalline InReTe2S at its relaxed geometry (GGA-PBE, the Alexandria database).

It has space group P4/mmm (No. 123), with a = 5.203 Å, b = 5.203 Å, c = 5.182 Å, α = 90.00°, β = 90.00° and γ = 90.00°. The asymmetric unit holds In at (0.000, 0.000, 0.000), Re at (0.500, 0.500, 0.000), Te at (0.000, 0.500, 0.500) and S at (0.000, 0.000, 0.500).

The value obtained for the magnetization is 4.0 μB per cell. As for the density of states at the Fermi level: 3.87 states/eV/cell. The calculation puts the raw formation energy at 1339 meV/atom.

# Ba2CaCdO

Crystalline Ba2CaCdO at its relaxed geometry (GGA-PBE, the Alexandria database).

It has space group P4/mmm (No. 123), with a = 5.806 Å, b = 5.806 Å, c = 4.652 Å, α = 90.00°, β = 90.00° and γ = 90.00°. The asymmetric unit holds Ba at (0.000, 0.500, 0.000), Ca at (0.000, 0.000, 0.500), Cd at (0.500, 0.500, 0.500) and O at (0.000, 0.000, 0.000).

The value obtained for the magnetization is 0.0 μB per cell. As for the density of states at the Fermi level: 3.38 states/eV/cell. The calculation puts the raw formation energy at -1167 meV/atom.

# Na2RuN2

Crystalline Na2RuN2 at its relaxed geometry (GGA-PBE, the Alexandria database).

It has space group P4/mbm (No. 127), with a = 5.444 Å, b = 5.444 Å, c = 4.212 Å, α = 90.00°, β = 90.00° and γ = 90.00°. The asymmetric unit holds Na at (0.157, 0.343, 0.000), Ru at (0.000, 0.000, 0.500) and N at (0.184, 0.684, 0.500).

The value obtained for the magnetization is 0.0 μB per cell. As for the density of states at the Fermi level: 0.80 states/eV/cell. The calculation puts the raw formation energy at 322 meV/atom.